Computed, not measured: an optimized crystal structure of Ce2As2N at the GGA-PBE level of DFT.

Cell lengths 4.1265, 7.2461, 7.7451 Å; angles 90.00, 105.45, 90.00 degrees
Closest atoms and distances in Å follow each position.
Element x y z (fractional)
N 0.4033 0.0778 0.8065  4 Ce 2.31-2.43
N 0.5967 0.5778 0.1935  4 Ce 2.31-2.43
As 0.9361 0.6833 0.8723  1 As 2.51
As 0.8130 0.4474 0.6260  1 As 2.51
As 0.1870 0.9474 0.3740  1 As 2.51
As 0.0639 0.1833 0.1277  1 As 2.51
Ce 0.4623 0.3876 0.9245  2 N 2.41-2.43
Ce 0.5377 0.8876 0.0755  2 N 2.41-2.43
Ce 0.1634 0.5382 0.3268  2 N 2.31
Ce 0.8366 0.0382 0.6732  2 N 2.31

Properties
Formation energy (no corrections) in eV per atom: -1.19
Symmetry: Cmc2_1, No. 36
N(E_F) in states/eV per cell: 9.54